[1]
Na2Zr2Hg | PBE | optimized geometry

Lattice parameters (Å, degrees): 3.957 3.957 8.847 77.08 77.08 90.00
Element x y z (fractional)
Hg 0.000 0.000 0.000
Na 0.250 0.750 0.500
Na 0.750 0.250 0.500
Zr 0.423 0.423 0.153
Zr 0.577 0.577 0.847

Values from the calculation:
* total moment: 0.0 μB/f.u.
* density: 5.4 g/cm³
* space group: No. 139
* formation energy: 0.56 eV/atom
* energy above the lowest structure with this stoichiometry: 0.00 eV/f.u.



[2]
NaZr2Hg2 | PBE | optimized geometry

Lattice parameters (Å, degrees): 8.868 8.868 3.061 90.00 90.00 90.00
Element x y z (fractional)
Na 0.500 0.500 0.000
Na 0.000 0.000 0.000
Hg 0.175 0.675 0.500
Hg 0.825 0.325 0.500
Hg 0.675 0.825 0.500
Hg 0.325 0.175 0.500
Zr 0.879 0.621 0.000
Zr 0.379 0.879 0.000
Zr 0.121 0.379 0.000
Zr 0.621 0.121 0.000

Values from the calculation:
* total moment: 0.0 μB/f.u.
* density: 8.4 g/cm³
* space group: No. 127
* formation energy: 0.02 eV/atom
* energy above the lowest structure with this stoichiometry: 0.08 eV/f.u.



[3]
NaZr3Hg | PBE | optimized geometry

Lattice parameters (Å, degrees): 4.988 4.988 4.988 90.00 90.00 90.00
Element x y z (fractional)
Zr 0.000 0.000 0.500
Zr 0.000 0.500 0.000
Zr 0.500 0.000 0.000
Hg 0.500 0.500 0.500
Na 0.000 0.000 0.000

Values from the calculation:
* total moment: 0.0 μB/f.u.
* density: 6.7 g/cm³
* space group: No. 221
* formation energy: 1.32 eV/atom
* energy above the lowest structure with this stoichiometry: 1.36 eV/f.u.



[4]
Na2Zr2Hg | PBE | optimized geometry

Lattice parameters (Å, degrees): 9.451 9.451 3.044 90.00 90.00 90.00
Element x y z (fractional)
Zr 0.395 0.895 0.000
Zr 0.605 0.105 0.000
Zr 0.105 0.395 0.000
Zr 0.895 0.605 0.000
Hg 0.000 0.000 0.000
Hg 0.500 0.500 0.000
Na 0.310 0.190 0.500
Na 0.810 0.310 0.500
Na 0.690 0.810 0.500
Na 0.190 0.690 0.500

Values from the calculation:
* total moment: 0.0 μB/f.u.
* density: 5.2 g/cm³
* space group: No. 127
* formation energy: 0.75 eV/atom
* energy above the lowest structure with this stoichiometry: 0.91 eV/f.u.